# 1
## MgIn3Pd4 (PBE)

Data for an optimized crystal structure of MgIn3Pd4.

Properties
Final energy: -4.408 eV/atom

a b c (Å): 4.593 4.593 13.264
angles (deg): 90.00 90.00 90.00
Sites, in units of the cell vectors:
Mg  0.000  0.000  0.000
Mg  0.500  0.500  0.500
In  0.000  0.000  0.248
In  0.000  0.000  0.500
In  0.000  0.000  0.752
In  0.500  0.500  0.000
In  0.500  0.500  0.252
In  0.500  0.500  0.748
Pd  0.000  0.500  0.124
Pd  0.000  0.500  0.376
Pd  0.000  0.500  0.624
Pd  0.000  0.500  0.876
Pd  0.500  0.000  0.124
Pd  0.500  0.000  0.376
Pd  0.500  0.000  0.624
Pd  0.500  0.000  0.876

# 2
## Mg4InPd2 (PBE)

Data for an optimized crystal structure of Mg4InPd2.

Properties
Final energy: -3.137 eV/atom

a b c (Å): 9.414 9.414 9.414
angles (deg): 27.47 27.47 27.47
Sites, in units of the cell vectors:
Mg  0.100  0.100  0.100
Mg  0.300  0.300  0.300
Mg  0.700  0.700  0.700
Mg  0.900  0.900  0.900
In  0.500  0.500  0.500
Pd  0.401  0.401  0.401
Pd  0.599  0.599  0.599

# 3
## Mg2In5Pd3 (PBE)

Data for an optimized crystal structure of Mg2In5Pd3.

Properties
Final energy: -3.621 eV/atom

a b c (Å): 15.287 15.287 6.296
angles (deg): 90.00 90.00 163.42
Sites, in units of the cell vectors:
Mg  0.017  0.983  0.500
Mg  0.346  0.654  0.594
Mg  0.654  0.346  0.094
Mg  0.983  0.017  0.000
In  0.087  0.913  0.872
In  0.202  0.798  0.467
In  0.220  0.780  0.981
In  0.377  0.623  0.084
In  0.444  0.556  0.713
In  0.556  0.444  0.213
In  0.623  0.377  0.584
In  0.780  0.220  0.481
In  0.798  0.202  0.967
In  0.913  0.087  0.372
Pd  0.114  0.886  0.295
Pd  0.292  0.708  0.242
Pd  0.469  0.531  0.281
Pd  0.531  0.469  0.781
Pd  0.708  0.292  0.742
Pd  0.886  0.114  0.795

# 4
## Mg3InPd (PBE)

Data for an optimized crystal structure of Mg3InPd.

Properties
Final energy: -2.036 eV/atom

a b c (Å): 5.199 5.199 5.199
angles (deg): 90.00 90.00 90.00
Sites, in units of the cell vectors:
Mg  0.000  0.000  0.500
Mg  0.000  0.500  0.000
Mg  0.500  0.000  0.000
In  0.000  0.000  0.000
Pd  0.500  0.500  0.500

# 5
## MgInPd2 (PBE)

Data for an optimized crystal structure of MgInPd2.

Properties
Final energy: -4.336 eV/atom

a b c (Å): 4.461 4.461 3.428
angles (deg): 90.00 90.00 90.00
Sites, in units of the cell vectors:
Mg  0.000  0.000  0.000
In  0.500  0.500  0.000
Pd  0.000  0.500  0.500
Pd  0.500  0.000  0.500

# 6
## Mg5In2Pd (PBE)

Data for an optimized crystal structure of Mg5In2Pd.

Properties
Final energy: -2.536 eV/atom

a b c (Å): 4.698 4.698 19.097
angles (deg): 90.00 90.00 120.00
Sites, in units of the cell vectors:
Mg  0.000  0.000  0.170
Mg  0.000  0.000  0.330
Mg  0.000  0.000  0.670
Mg  0.000  0.000  0.830
Mg  0.333  0.667  0.047
Mg  0.333  0.667  0.250
Mg  0.333  0.667  0.453
Mg  0.667  0.333  0.547
Mg  0.667  0.333  0.750
Mg  0.667  0.333  0.953
In  0.333  0.667  0.608
In  0.333  0.667  0.892
In  0.667  0.333  0.108
In  0.667  0.333  0.392
Pd  0.333  0.667  0.750
Pd  0.667  0.333  0.250

# 7
## Mg3In3Pd (PBE)

Data for an optimized crystal structure of Mg3In3Pd.

Properties
Final energy: -2.828 eV/atom

a b c (Å): 8.900 8.900 4.474
angles (deg): 90.00 90.00 120.00
Sites, in units of the cell vectors:
Mg  0.114  0.557  0.250
Mg  0.443  0.557  0.250
Mg  0.443  0.886  0.250
Mg  0.557  0.114  0.750
Mg  0.557  0.443  0.750
Mg  0.886  0.443  0.750
In  0.147  0.294  0.750
In  0.147  0.853  0.750
In  0.294  0.147  0.250
In  0.706  0.853  0.750
In  0.853  0.147  0.250
In  0.853  0.706  0.250
Pd  0.333  0.667  0.750
Pd  0.667  0.333  0.250

# 8
## MgIn6Pd12 (PBE)

Data for an optimized crystal structure of MgIn6Pd12.

Properties
Final energy: -4.661 eV/atom

a b c (Å): 7.418 7.418 7.418
angles (deg): 106.67 106.67 106.67
Sites, in units of the cell vectors:
Mg  0.000  0.000  0.000
In  0.089  0.209  0.471
In  0.209  0.471  0.089
In  0.471  0.089  0.209
In  0.529  0.911  0.791
In  0.791  0.529  0.911
In  0.911  0.791  0.529
Pd  0.128  0.841  0.267
Pd  0.159  0.733  0.872
Pd  0.184  0.596  0.480
Pd  0.267  0.128  0.841
Pd  0.404  0.520  0.816
Pd  0.480  0.184  0.596
Pd  0.520  0.816  0.404
Pd  0.596  0.480  0.184
Pd  0.733  0.872  0.159
Pd  0.816  0.404  0.520
Pd  0.841  0.267  0.128
Pd  0.872  0.159  0.733

# 9
## MgInPd (PBE)

Data for an optimized crystal structure of MgInPd.

Properties
Final energy: -3.667 eV/atom

a b c (Å): 3.437 3.437 9.398
angles (deg): 90.00 90.00 90.00
Sites, in units of the cell vectors:
Mg  0.000  0.000  0.000
Mg  0.500  0.500  0.500
In  0.000  0.000  0.690
In  0.500  0.500  0.190
Pd  0.000  0.000  0.356
Pd  0.500  0.500  0.856

# 10
## MgIn5Pd8 (PBE)

Data for an optimized crystal structure of MgIn5Pd8.

Properties
Final energy: -4.494 eV/atom

a b c (Å): 6.935 6.935 6.935
angles (deg): 109.52 109.52 109.38
Sites, in units of the cell vectors:
Mg  0.000  0.000  0.000
In  0.244  0.113  0.620
In  0.375  0.756  0.869
In  0.493  0.625  0.380
In  0.750  0.250  0.500
In  0.887  0.507  0.131
Pd  0.120  0.363  0.410
Pd  0.133  0.379  0.912
Pd  0.290  0.880  0.244
Pd  0.467  0.221  0.088
Pd  0.621  0.533  0.754
Pd  0.637  0.046  0.756
Pd  0.779  0.867  0.246
Pd  0.954  0.710  0.590

# 11
## Mg3InPd (PBE)

Data for an optimized crystal structure of Mg3InPd.

Properties
Final energy: -2.814 eV/atom

a b c (Å): 6.657 6.657 7.109
angles (deg): 120.94 120.94 74.36
Sites, in units of the cell vectors:
Mg  0.057  0.057  0.262
Mg  0.083  0.454  0.814
Mg  0.454  0.083  0.814
Mg  0.546  0.917  0.186
Mg  0.917  0.546  0.186
Mg  0.943  0.943  0.738
In  0.419  0.419  0.626
In  0.581  0.581  0.374
Pd  0.254  0.254  0.122
Pd  0.746  0.746  0.878

# 12
## Mg5InPd (PBE)

Data for an optimized crystal structure of Mg5InPd.

Properties
Final energy: -2.461 eV/atom

a b c (Å): 4.492 4.492 7.539
angles (deg): 90.00 90.00 90.00
Sites, in units of the cell vectors:
Mg  0.000  0.000  0.000
Mg  0.000  0.500  0.250
Mg  0.000  0.500  0.750
Mg  0.500  0.000  0.250
Mg  0.500  0.000  0.750
In  0.000  0.000  0.500
Pd  0.500  0.500  0.000

# 13
## Mg5In2Pd (PBE)

Data for an optimized crystal structure of Mg5In2Pd.

Properties
Final energy: -2.538 eV/atom

a b c (Å): 4.540 4.540 16.284
angles (deg): 90.00 90.00 90.00
Sites, in units of the cell vectors:
Mg  0.000  0.000  0.000
Mg  0.000  0.500  0.112
Mg  0.000  0.500  0.388
Mg  0.000  0.500  0.612
Mg  0.000  0.500  0.888
Mg  0.500  0.000  0.112
Mg  0.500  0.000  0.388
Mg  0.500  0.000  0.612
Mg  0.500  0.000  0.888
Mg  0.500  0.500  0.500
In  0.000  0.000  0.247
In  0.000  0.000  0.753
In  0.500  0.500  0.253
In  0.500  0.500  0.747
Pd  0.000  0.000  0.500
Pd  0.500  0.500  0.000

# 14
## MgIn2Pd2 (PBE)

Data for an optimized crystal structure of MgIn2Pd2.

Properties
Final energy: -4.055 eV/atom

a b c (Å): 4.535 4.535 5.558
angles (deg): 90.00 90.00 120.00
Sites, in units of the cell vectors:
Mg  0.000  0.000  0.000
In  0.333  0.667  0.351
In  0.667  0.333  0.649
Pd  0.333  0.667  0.851
Pd  0.667  0.333  0.149

# 15
## Mg5In5Pd2 (PBE)

Data for an optimized crystal structure of Mg5In5Pd2.

Properties
Final energy: -2.928 eV/atom

a b c (Å): 7.527 7.527 10.195
angles (deg): 124.19 124.19 34.56
Sites, in units of the cell vectors:
Mg  0.000  0.000  0.000
Mg  0.141  0.141  0.861
Mg  0.165  0.165  0.509
Mg  0.835  0.835  0.491
Mg  0.859  0.859  0.139
In  0.252  0.252  0.235
In  0.434  0.434  0.739
In  0.500  0.500  0.500
In  0.566  0.566  0.261
In  0.748  0.748  0.765
Pd  0.365  0.365  0.953
Pd  0.635  0.635  0.047

# 16
## Mg4InPd15 (PBE)

Data for an optimized crystal structure of Mg4InPd15.

Properties
Final energy: -4.811 eV/atom

a b c (Å): 3.990 3.990 19.857
angles (deg): 90.00 90.00 90.00
Sites, in units of the cell vectors:
Mg  0.000  0.000  0.099
Mg  0.000  0.000  0.298
Mg  0.000  0.000  0.702
Mg  0.000  0.000  0.901
In  0.000  0.000  0.500
Pd  0.000  0.500  0.000
Pd  0.000  0.500  0.198
Pd  0.000  0.500  0.397
Pd  0.000  0.500  0.603
Pd  0.000  0.500  0.802
Pd  0.500  0.000  0.000
Pd  0.500  0.000  0.198
Pd  0.500  0.000  0.397
Pd  0.500  0.000  0.603
Pd  0.500  0.000  0.802
Pd  0.500  0.500  0.099
Pd  0.500  0.500  0.297
Pd  0.500  0.500  0.500
Pd  0.500  0.500  0.703
Pd  0.500  0.500  0.901

# 17
## MgInPd4 (PBE)

Data for an optimized crystal structure of MgInPd4.

Properties
Final energy: -4.442 eV/atom

a b c (Å): 4.306 4.306 6.120
angles (deg): 90.00 90.00 90.00
Sites, in units of the cell vectors:
Mg  0.000  0.000  0.000
In  0.500  0.500  0.500
Pd  0.000  0.500  0.240
Pd  0.000  0.500  0.760
Pd  0.500  0.000  0.240
Pd  0.500  0.000  0.760

# 18
## Mg2InPd2 (PBE)

Data for an optimized crystal structure of Mg2InPd2.

Properties
Final energy: -3.829 eV/atom

a b c (Å): 7.961 4.536 5.625
angles (deg): 90.00 119.11 90.00
Sites, in units of the cell vectors:
Mg  0.213  0.000  0.143
Mg  0.287  0.500  0.857
Mg  0.713  0.500  0.143
Mg  0.787  0.000  0.857
In  0.000  0.000  0.500
In  0.500  0.500  0.500
Pd  0.094  0.500  0.290
Pd  0.406  0.000  0.710
Pd  0.594  0.000  0.290
Pd  0.906  0.500  0.710

# 19
## MgIn6Pd2 (PBE)

Data for an optimized crystal structure of MgIn6Pd2.

Properties
Final energy: -3.445 eV/atom

a b c (Å): 7.084 7.084 9.017
angles (deg): 126.73 126.73 35.48
Sites, in units of the cell vectors:
Mg  0.000  0.000  0.000
In  0.011  0.011  0.672
In  0.270  0.270  0.381
In  0.307  0.307  0.949
In  0.693  0.693  0.051
In  0.730  0.730  0.619
In  0.989  0.989  0.328
Pd  0.424  0.424  0.773
Pd  0.576  0.576  0.227

# 20
## PmMgInPd (PBE)

Data for an optimized crystal structure of PmMgInPd.

Properties
Final energy: -4.100 eV/atom

a b c (Å): 7.120 7.120 7.120
angles (deg): 90.00 90.00 90.00
Sites, in units of the cell vectors:
Pm  0.000  0.000  0.000
Pm  0.000  0.500  0.500
Pm  0.500  0.000  0.500
Pm  0.500  0.500  0.000
Mg  0.000  0.000  0.500
Mg  0.000  0.500  0.000
Mg  0.500  0.000  0.000
Mg  0.500  0.500  0.500
In  0.250  0.250  0.250
In  0.250  0.750  0.750
In  0.750  0.250  0.750
In  0.750  0.750  0.250
Pd  0.250  0.250  0.750
Pd  0.250  0.750  0.250
Pd  0.750  0.250  0.250
Pd  0.750  0.750  0.750